First-principles (PBE) data for an optimized crystal structure of K2InAs2, as listed in Alexandria via LeMat-Bulk.

abc: 14.1519 4.6601 11.1498
angles: 90.00 120.72 90.00
Last column: nearest neighbours and their distance in Å.
Space group C2/m (No. 12)
Asymmetric unit:
K1 0.0159 0.0000 0.1710 [4 per cell]  6 As 3.43-3.65, 1 K 3.60, 2 In 3.74
K2 0.1632 0.0000 0.5870 [4 per cell]  5 As 3.22-3.43
In1 0.2014 0.5000 0.8568 [4 per cell]  4 As 2.76-2.82
As1 0.0033 0.5000 0.3879 [4 per cell]  1 As 2.55, 1 In 2.79
As2 0.1688 0.5000 0.0806 [4 per cell]  3 In 2.76-2.82

- final energy (eV per atom) = -3.24
- ΔE to the lowest computed polymorph (meV per atom) = 0.0
- energy relative to the elements (eV per atom) = -0.397


First-principles (PBE) data for an optimized crystal structure of K2InAs, as listed in Alexandria via LeMat-Bulk.

abc: 11.0509 3.4044 7.0446
angles: 90.00 96.57 90.00
Last column: nearest neighbours and their distance in Å.
Space group C2/m (No. 12)
Asymmetric unit:
K1 0.2391 0.0000 0.2181 [4 per cell]  3 As 3.36-3.42, 4 K 3.40-3.54, 3 In 3.48-3.72
In1 0.0000 0.0000 0.5000 [2 per cell]  2 In 3.40, 6 K 3.48-3.72
As1 0.0000 0.5000 0.0000 [2 per cell]  6 K 3.36-3.42, 2 As 3.40

- final energy (eV per atom) = -2.34
- ΔE to the lowest computed polymorph (meV per atom) = 387.1
- energy relative to the elements (eV per atom) = 0.052


First-principles (PBE) data for an optimized crystal structure of K2InAs, as listed in Alexandria via LeMat-Bulk.

abc: 8.0249 8.0249 8.0249
angles: 90.00 90.00 90.00
Last column: nearest neighbours and their distance in Å.
Space group Fm-3m (No. 225)
Asymmetric unit:
K1 0.2500 0.2500 0.2500 [8 per cell]  4 As 3.47, 4 In 3.47
In1 0.0000 0.0000 0.0000 [4 per cell]  8 K 3.47
As1 0.0000 0.0000 0.5000 [4 per cell]  8 K 3.47

- final energy (eV per atom) = -2.48
- ΔE to the lowest computed polymorph (meV per atom) = 247.0
- energy relative to the elements (eV per atom) = -0.088


First-principles (PBE) data for an optimized crystal structure of K2In2As, as listed in Alexandria via LeMat-Bulk.

abc: 12.2644 7.5393 7.8220
angles: 90.00 109.73 90.00
Last column: nearest neighbours and their distance in Å.
Space group C2/c (No. 15)
Asymmetric unit:
K1 0.1685 0.0759 0.1309 [8 per cell]  2 As 3.47-3.84, 5 In 3.60-3.71
In1 0.0889 0.3641 0.4449 [8 per cell]  2 As 2.92-2.97, 1 In 3.09
As1 0.0000 0.3072 0.7500 [4 per cell]  4 In 2.92-2.97

- final energy (eV per atom) = -2.66
- ΔE to the lowest computed polymorph (meV per atom) = 0.0
- energy relative to the elements (eV per atom) = -0.193


First-principles (PBE) data for an optimized crystal structure of KIn2As, as listed in Alexandria via LeMat-Bulk.

abc: 4.3939 4.2319 7.0629
angles: 90.00 102.79 90.00
Last column: nearest neighbours and their distance in Å.
Space group Pm (No. 6)
Asymmetric unit:
K1 0.0000 0.0000 0.0000 [1 per cell]  4 As 3.40-3.43, 1 In 3.67
In1 0.3011 0.0000 0.5281 [1 per cell]  2 As 2.73
In2 0.7652 0.5000 0.4301 [1 per cell]  4 In 3.12-3.13, 2 As 3.13-3.36
As1 0.4257 0.5000 0.7765 [1 per cell]  2 In 2.73

- final energy (eV per atom) = -2.97
- energy relative to the elements (eV per atom) = -0.168


First-principles (PBE) data for an optimized crystal structure of KIn2As, as listed in Alexandria via LeMat-Bulk.

abc: 4.8432 4.8432 9.5120
angles: 90.00 90.00 90.00
Last column: nearest neighbours and their distance in Å.
Space group I4/mmm (No. 139)
Asymmetric unit:
K1 0.0000 0.0000 0.0000 [2 per cell]  8 In 3.39, 4 As 3.42
In1 0.0000 0.5000 0.2500 [4 per cell]  4 K 3.39, 4 As 3.39, 4 In 3.42
As1 0.0000 0.0000 0.5000 [2 per cell]  8 In 3.39, 4 K 3.42

- final energy (eV per atom) = -2.81
- energy relative to the elements (eV per atom) = -0.006


First-principles (PBE) data for an optimized crystal structure of K2InAs, as listed in Alexandria via LeMat-Bulk.

abc: 5.3384 5.3384 8.8572
angles: 90.00 90.00 90.00
Last column: nearest neighbours and their distance in Å.
Space group I-4m2 (No. 119)
Asymmetric unit:
K1 0.0000 0.0000 0.0000 [2 per cell]  4 K 3.47, 4 As 3.47, 4 In 3.77
K2 0.0000 0.5000 0.2500 [2 per cell]  4 K 3.47, 4 In 3.47, 4 As 3.77
In1 0.0000 0.0000 0.5000 [2 per cell]  4 As 3.47, 8 K 3.47-3.77
As1 0.0000 0.5000 0.7500 [2 per cell]  4 In 3.47, 8 K 3.47-3.77

- final energy (eV per atom) = -2.52
- ΔE to the lowest computed polymorph (meV per atom) = 206.1
- energy relative to the elements (eV per atom) = -0.129


First-principles (PBE) data for an optimized crystal structure of KIn2As, as listed in Alexandria via LeMat-Bulk.

abc: 4.6595 4.6714 4.9702
angles: 90.00 90.00 90.00
Last column: nearest neighbours and their distance in Å.
Space group Pmmm (No. 47)
Asymmetric unit:
K1 0.0000 0.0000 0.0000 [1 per cell]  4 As 3.30, 8 In 3.41
In1 0.0000 0.5000 0.5000 [1 per cell]  4 In 3.30, 4 As 3.41, 4 K 3.41
In2 0.5000 0.0000 0.5000 [1 per cell]  4 In 3.30, 4 K 3.41, 4 As 3.41
As1 0.5000 0.5000 0.0000 [1 per cell]  4 K 3.30, 8 In 3.41

- final energy (eV per atom) = -2.82
- energy relative to the elements (eV per atom) = -0.019


First-principles (PBE) data for an optimized crystal structure of KIn2As, as listed in Alexandria via LeMat-Bulk.

abc: 5.0308 5.0308 8.8694
angles: 90.00 90.00 90.00
Last column: nearest neighbours and their distance in Å.
Space group I-4m2 (No. 119)
Asymmetric unit:
K1 0.0000 0.0000 0.0000 [2 per cell]  8 In 3.35-3.56, 4 As 3.35
In1 0.0000 0.0000 0.5000 [2 per cell]  4 As 3.35, 4 In 3.35, 4 K 3.56
In2 0.0000 0.5000 0.2500 [2 per cell]  4 K 3.35, 4 In 3.35, 4 As 3.56
As1 0.0000 0.5000 0.7500 [2 per cell]  8 In 3.35-3.56, 4 K 3.35

- final energy (eV per atom) = -2.80
- energy relative to the elements (eV per atom) = 0.005


First-principles (PBE) data for an optimized crystal structure of K2InAs, as listed in Alexandria via LeMat-Bulk.

abc: 3.6330 3.6330 34.3562
angles: 90.00 90.00 120.00
Last column: nearest neighbours and their distance in Å.
Space group R-3m (No. 166, hexagonal axes)
Asymmetric unit:
K1 0.0000 0.0000 0.2403 [6 per cell]  3 As 3.29, 6 K 3.63
In1 0.0000 0.0000 0.0000 [3 per cell]  6 In 3.63, 6 K 3.82
As1 0.0000 0.0000 0.5000 [3 per cell]  6 K 3.29, 6 As 3.63

- final energy (eV per atom) = -2.30
- ΔE to the lowest computed polymorph (meV per atom) = 430.2
- energy relative to the elements (eV per atom) = 0.095


First-principles (PBE) data for an optimized crystal structure of K5In4As4, as listed in Alexandria via LeMat-Bulk.

abc: 13.1564 13.1564 4.7081
angles: 90.00 90.00 90.00
Last column: nearest neighbours and their distance in Å.
Space group I4/m (No. 87)
Asymmetric unit:
K1 0.0000 0.0000 0.0000 [2 per cell]  4 As 3.58
K2 0.1384 0.7950 0.5000 [8 per cell]  5 As 3.47-3.56, 4 In 3.78-3.88
In1 0.0712 0.4011 0.5000 [8 per cell]  3 As 2.87-2.95, 1 In 3.21
As1 0.0483 0.2680 0.0000 [8 per cell]  3 In 2.87-2.95

- final energy (eV per atom) = -2.97
- energy relative to the elements (eV per atom) = -0.278


First-principles (PBE) data for an optimized crystal structure of KIn2As, as listed in Alexandria via LeMat-Bulk.

abc: 3.8959 3.8959 7.7142
angles: 90.00 90.00 90.00
Last column: nearest neighbours and their distance in Å.
Space group P4mm (No. 99)
Asymmetric unit:
K1 0.0000 0.0000 0.0000 [1 per cell]  5 In 3.48-3.71, 4 As 3.63
In1 0.0000 0.0000 0.4507 [1 per cell]  4 As 2.97, 4 In 3.26
In2 0.5000 0.5000 0.6771 [1 per cell]  1 As 2.86
As1 0.5000 0.5000 0.3067 [1 per cell]  5 In 2.86-2.97

- final energy (eV per atom) = -2.97
- energy relative to the elements (eV per atom) = -0.160